No. 1
Material: Ba2ZrAs
Method: DFT, SCAN
State: single point on PBEsol structure

## Properties
spin magnetization: 0.0 μB per formula unit
D(E_F): 1.000 states/eV/atom
uncorrected energy: -32.4162 eV/atom

Cell lengths 6.5805, 9.8981, 3.5282 Å; angles 90.00, 90.00, 90.00 degrees
With the nearest neighbours (Å) after each atom.
Space group Cmmm (No. 65)
Symmetry-distinct sites (fractional):
1 Ba 0.2500 0.2500 0.0000  4 Ba 3.29-3.53, 4 As 3.46, 4 Zr 3.46
2 Zr 0.0000 0.0000 0.5000  2 As 3.29, 8 Ba 3.46, 2 Zr 3.53
3 As 0.0000 0.5000 0.5000  2 Zr 3.29, 8 Ba 3.46, 2 As 3.53

***

No. 2
Material: Ta2TlIr
Method: DFT, SCAN
State: single point on PBEsol structure

## Properties
spin magnetization: 0.0 μB per formula unit
D(E_F): 0.700 states/eV/atom
ΔE to the lowest computed polymorph: 0.000 eV/atom

Cell lengths 4.0705, 4.0705, 4.1690 Å; angles 90.00, 90.00, 90.00 degrees
With the nearest neighbours (Å) after each atom.
Space group P4/mmm (No. 123)
Symmetry-distinct sites (fractional):
1 Ta 0.0000 0.5000 0.0000  4 Ta 2.88, 4 Tl 2.91, 4 Ir 2.91
2 Tl 0.0000 0.0000 0.5000  4 Ir 2.88, 8 Ta 2.91
3 Ir 0.5000 0.5000 0.5000  4 Tl 2.88, 8 Ta 2.91

***

No. 3
Material: CsTaS2N
Method: DFT, SCAN
State: single point on PBEsol structure

## Properties
spin magnetization: 1.0 μB per formula unit
D(E_F): 0.405 states/eV/atom
uncorrected formation energy: -0.66 eV per atom

Cell lengths 4.9766, 4.9766, 4.0896 Å; angles 90.00, 90.00, 90.00 degrees
With the nearest neighbours (Å) after each atom.
Space group P4/mmm (No. 123)
Symmetry-distinct sites (fractional):
1 Cs 0.0000 0.0000 0.0000  8 S 3.22, 4 N 3.52
2 Ta 0.5000 0.5000 0.5000  2 N 2.04
3 S 0.0000 0.5000 0.5000  2 Ta 2.49
4 N 0.5000 0.5000 0.0000  2 Ta 2.04

***

No. 4
Material: ScZnAu2
Method: DFT, SCAN
State: single point on PBEsol structure

## Properties
spin magnetization: 0.0 μB per formula unit
D(E_F): 0.357 states/eV/atom
uncorrected energy: -42.1871 eV/atom

Cell lengths 4.1481, 4.1481, 7.8134 Å; angles 90.00, 90.00, 90.00 degrees
With the nearest neighbours (Å) after each atom.
Space group I-4m2 (No. 119)
Symmetry-distinct sites (fractional):
1 Sc 0.0000 0.0000 0.0000  4 Zn 2.85, 8 Au 2.85-2.93
2 Zn 0.0000 0.5000 0.2500  4 Sc 2.85, 8 Au 2.85-2.93
3 Au 0.0000 0.0000 0.5000  4 Zn 2.85, 4 Au 2.85, 4 Sc 2.93
4 Au 0.0000 0.5000 0.7500  4 Sc 2.85, 4 Au 2.85, 4 Zn 2.93

***

No. 5
Material: Pr3Ru
Method: DFT, SCAN
State: single point on PBEsol structure

## Properties
spin magnetization: 0.0 μB per formula unit
D(E_F): 0.925 states/eV/atom
uncorrected energy: -41.4105 eV/atom

Cell lengths 7.3294, 9.7216, 6.3909 Å; angles 90.00, 90.00, 90.00 degrees
With the nearest neighbours (Å) after each atom.
Space group Pnma (No. 62)
Symmetry-distinct sites (fractional):
1 Pr 0.0409 0.2500 0.1457  2 Ru 2.84-2.88
2 Pr 0.1764 0.0669 0.6695  2 Ru 2.87-2.92
3 Ru 0.1154 0.7500 0.4411  6 Pr 2.84-2.92

***

No. 6
Material: NiPt2Br
Method: DFT, SCAN
State: single point on PBEsol structure

## Properties
spin magnetization: 1.4 μB per formula unit
D(E_F): 0.952 states/eV/atom
ΔE to the lowest computed polymorph: 0.435 eV/atom
uncorrected formation energy: 0.71 eV per atom

Cell lengths 6.2459, 6.2459, 6.2459 Å; angles 90.00, 90.00, 90.00 degrees
With the nearest neighbours (Å) after each atom.
Space group F-43m (No. 216)
Symmetry-distinct sites (fractional):
1 Ni 0.0000 0.0000 0.0000  4 Pt 2.70, 4 Br 2.70
2 Pt 0.0000 0.0000 0.5000  4 Br 2.70, 4 Pt 2.70
3 Pt 0.2500 0.2500 0.2500  4 Ni 2.70, 4 Pt 2.70
4 Br 0.2500 0.2500 0.7500  4 Ni 2.70, 4 Pt 2.70

***

No. 7
Material: NbBiSe2
Method: DFT, SCAN
State: single point on PBEsol structure

## Properties
spin magnetization: 0.0 μB per formula unit
D(E_F): 0.441 states/eV/atom
uncorrected formation energy: -0.56 eV per atom

Cell lengths 3.4245, 3.4245, 27.9072 Å; angles 90.00, 90.00, 120.00 degrees
With the nearest neighbours (Å) after each atom.
Space group R-3m (No. 166, hexagonal axes)
Symmetry-distinct sites (fractional):
1 Nb 0.0000 0.0000 0.0000  6 Se 2.60
2 Bi 0.0000 0.0000 0.5000  2 Se 2.96
3 Se 0.0000 0.0000 0.3939  3 Nb 2.60

***

No. 8
Material: MgSc2Co
Method: DFT, SCAN
State: single point on PBEsol structure

## Properties
spin magnetization: 0.0 μB per formula unit
D(E_F): 0.605 states/eV/atom
uncorrected energy: -12.7154 eV/atom

Cell lengths 3.4612, 4.9677, 8.6450 Å; angles 90.00, 90.00, 90.00 degrees
With the nearest neighbours (Å) after each atom.
Space group Immm (No. 71)
Symmetry-distinct sites (fractional):
1 Mg 0.0000 0.0000 0.0000  8 Sc 3.02-3.12, 4 Co 3.03
2 Sc 0.0000 0.5000 0.1996  2 Co 2.44
3 Co 0.0000 0.0000 0.5000  4 Sc 2.44

***

No. 9
Material: RbInTc2H
Method: DFT, SCAN
State: single point on PBEsol structure

## Properties
spin magnetization: 7.0 μB per formula unit
D(E_F): 0.763 states/eV/atom
uncorrected energy: -23.7714 eV/atom

Cell lengths 5.3724, 5.3724, 3.7282 Å; angles 90.00, 90.00, 90.00 degrees
With the nearest neighbours (Å) after each atom.
Space group P4/mmm (No. 123)
Symmetry-distinct sites (fractional):
1 Rb 0.0000 0.0000 0.0000  8 Tc 3.27
2 In 0.5000 0.5000 0.5000  2 H 1.86
3 Tc 0.0000 0.5000 0.5000  2 In 2.69
4 H 0.5000 0.5000 0.0000  2 In 1.86

***

No. 10
Material: TcAsRuO2
Method: DFT, SCAN
State: single point on PBEsol structure

## Properties
spin magnetization: 3.7 μB per formula unit
D(E_F): 0.756 states/eV/atom
uncorrected formation energy: -0.09 eV per atom

Cell lengths 3.6719, 3.6719, 5.5092 Å; angles 90.00, 90.00, 90.00 degrees
With the nearest neighbours (Å) after each atom.
Space group P4/mmm (No. 123)
Symmetry-distinct sites (fractional):
1 Tc 0.0000 0.0000 0.0000  4 As 2.60
2 As 0.5000 0.5000 0.0000  4 Tc 2.60, 2 Ru 2.75
3 Ru 0.5000 0.5000 0.5000  4 O 1.84
4 O 0.0000 0.5000 0.5000  2 Ru 1.84

***

No. 11
Material: TcRu
Method: DFT, SCAN
State: single point on PBEsol structure

## Properties
spin magnetization: 0.0 μB per formula unit
D(E_F): 0.872 states/eV/atom
ΔE to the lowest computed polymorph: 0.016 eV/atom

Cell lengths 9.7631, 2.7015, 4.6936 Å; angles 90.00, 118.69, 90.00 degrees
With the nearest neighbours (Å) after each atom.
Space group C2/m (No. 12)
Symmetry-distinct sites (fractional):
1 Tc 0.1245 0.0000 0.4595  5 Tc 2.63-2.70, 7 Ru 2.65-2.72
2 Ru 0.1247 0.5000 0.9576  7 Tc 2.65-2.72, 5 Ru 2.65-2.70

***

No. 12
Material: Cd2HgTe2
Method: DFT, SCAN
State: single point on PBEsol structure

## Properties
spin magnetization: 0.0 μB per formula unit
D(E_F): 0.177 states/eV/atom
uncorrected formation energy: -0.02 eV per atom

Cell lengths 4.7497, 4.7497, 12.8646 Å; angles 90.00, 90.00, 90.00 degrees
With the nearest neighbours (Å) after each atom.
Space group I4/mmm (No. 139)
Symmetry-distinct sites (fractional):
1 Cd 0.0000 0.0000 0.1031  1 Cd 2.65
2 Hg 0.0000 0.0000 0.5000  8 Cd 3.61, 8 Te 4.00
3 Te 0.0000 0.5000 0.2500  4 Cd 3.04, 4 Te 3.36

***

No. 13
Material: Pt2PbBr
Method: DFT, SCAN
State: single point on PBEsol structure

## Properties
spin magnetization: 0.0 μB per formula unit
D(E_F): 0.396 states/eV/atom
ΔE to the lowest computed polymorph: 0.000 eV/atom
uncorrected formation energy: 0.26 eV per atom

Cell lengths 3.6722, 3.6722, 21.0461 Å; angles 90.00, 90.00, 120.00 degrees
With the nearest neighbours (Å) after each atom.
Space group R-3m (No. 166, hexagonal axes)
Symmetry-distinct sites (fractional):
1 Pt 0.0000 0.0000 0.2480  3 Pb 2.73, 3 Br 2.78
2 Pb 0.0000 0.0000 0.5000  6 Pt 2.73
3 Br 0.0000 0.0000 0.0000  6 Pt 2.78

***

No. 14
Material: CdCu4Sb
Method: DFT, SCAN
State: single point on PBEsol structure

## Properties
spin magnetization: 0.0 μB per formula unit
D(E_F): 0.451 states/eV/atom
uncorrected formation energy: 0.07 eV per atom

Cell lengths 7.0513, 7.0513, 7.0513 Å; angles 90.00, 90.00, 90.00 degrees
With the nearest neighbours (Å) after each atom.
Space group F-43m (No. 216)
Symmetry-distinct sites (fractional):
1 Cd 0.0000 0.0000 0.0000  12 Cu 2.92, 4 Sb 3.05
2 Cu 0.1253 0.1253 0.3747  6 Cu 2.49-2.50
3 Sb 0.2500 0.2500 0.7500  12 Cu 2.92, 4 Cd 3.05

***

No. 15
Material: Ca2Al2Sn2O9
Method: DFT, SCAN
State: single point on PBEsol structure

## Properties
spin magnetization: 0.0 μB per formula unit
D(E_F): 0.000 states/eV/atom
uncorrected formation energy: -2.79 eV per atom

Cell lengths 8.9862, 5.5087, 14.9388 Å; angles 90.00, 90.00, 90.00 degrees
With the nearest neighbours (Å) after each atom.
Space group Pbcn (No. 60)
Symmetry-distinct sites (fractional):
1 Ca 0.0671 0.1366 0.1459  6 O 2.29-2.48
2 Al 0.1565 0.3102 0.5285  4 O 1.75-1.78
3 Sn 0.1554 0.3663 0.8338  6 O 2.02-2.22
4 O 0.0000 0.4694 0.2500  2 Sn 2.08
5 O 0.0157 0.2250 0.9262  1 Al 1.75
6 O 0.1607 0.3078 0.4091  1 Al 1.78
7 O 0.1663 0.0348 0.7718  2 Sn 2.05-2.07, 1 Ca 2.29
8 O 0.2265 0.4187 0.0723  2 Al 1.75-1.77

***

No. 16
Material: TaIn2Fe
Method: DFT, SCAN
State: single point on PBEsol structure

## Properties
spin magnetization: 2.8 μB per formula unit
D(E_F): 0.448 states/eV/atom
uncorrected energy: -37.6047 eV/atom

Cell lengths 2.8858, 4.0871, 5.9422 Å; angles 90.00, 90.00, 90.00 degrees
With the nearest neighbours (Å) after each atom.
Space group Pmmm (No. 47)
Symmetry-distinct sites (fractional):
1 Ta 0.0000 0.0000 0.0000  2 Ta 2.89, 8 In 2.95, 2 Fe 2.97
2 In 0.5000 0.5000 0.2624  4 In 2.82-3.12, 4 Fe 2.87, 4 Ta 2.95
3 Fe 0.0000 0.0000 0.5000  8 In 2.87, 2 Fe 2.89, 2 Ta 2.97

***

No. 17
Material: Sr2BeAg
Method: DFT, SCAN
State: single point on PBEsol structure

## Properties
spin magnetization: 0.2 μB per formula unit
D(E_F): 0.682 states/eV/atom
uncorrected energy: -20.0843 eV/atom

Cell lengths 4.2765, 4.2765, 23.7376 Å; angles 90.00, 90.00, 120.00 degrees
With the nearest neighbours (Å) after each atom.
Space group R3m (No. 160, hexagonal axes)
Symmetry-distinct sites (fractional):
1 Sr 0.0000 0.0000 0.0000  3 Ag 3.23, 3 Be 3.23
2 Sr 0.0000 0.0000 0.1754  3 Be 3.23, 3 Ag 3.23
3 Be 0.0000 0.0000 0.7545  3 Ag 2.47
4 Ag 0.0000 0.0000 0.4209  3 Be 2.47

***

No. 18
Material: Li3CaRh
Method: DFT, SCAN
State: single point on PBEsol structure

## Properties
spin magnetization: 0.0 μB per formula unit
D(E_F): 0.370 states/eV/atom
uncorrected energy: -10.0961 eV/atom

Cell lengths 4.6741, 4.6741, 4.6741 Å; angles 90.00, 90.00, 90.00 degrees
With the nearest neighbours (Å) after each atom.
Space group Pm-3m (No. 221)
Symmetry-distinct sites (fractional):
1 Li 0.0000 0.0000 0.5000  2 Rh 2.34
2 Ca 0.5000 0.5000 0.5000  12 Li 3.31
3 Rh 0.0000 0.0000 0.0000  6 Li 2.34

***

No. 19
Material: LiCrHg2
Method: DFT, SCAN
State: single point on PBEsol structure

## Properties
spin magnetization: 4.4 μB per formula unit
D(E_F): 0.305 states/eV/atom
uncorrected energy: -39.3825 eV/atom

Cell lengths 3.9354, 4.1364, 8.7696 Å; angles 90.00, 90.00, 90.00 degrees
With the nearest neighbours (Å) after each atom.
Space group Imm2 (No. 44)
Symmetry-distinct sites (fractional):
1 Li 0.0000 0.0000 0.0000  8 Hg 2.85-3.04, 4 Cr 2.95-3.01
2 Cr 0.0000 0.5000 0.7511  8 Hg 2.85-3.01, 4 Li 2.95-3.01
3 Hg 0.0000 0.0000 0.5012  4 Li 2.85, 4 Cr 2.95-3.01, 4 Hg 2.96-3.00
4 Hg 0.0000 0.5000 0.2533  4 Cr 2.85, 4 Li 2.92-3.04, 4 Hg 2.96-3.00

***

No. 20
Material: La2InAu
Method: DFT, SCAN
State: single point on PBEsol structure

## Properties
spin magnetization: 1.2 μB per formula unit
D(E_F): 0.758 states/eV/atom
uncorrected energy: -47.6797 eV/atom

Cell lengths 3.8698, 3.8698, 7.2637 Å; angles 90.00, 90.00, 90.00 degrees
With the nearest neighbours (Å) after each atom.
Space group P4mm (No. 99)
Symmetry-distinct sites (fractional):
1 La 0.0000 0.0000 0.0000  4 In 3.29, 1 Au 3.47, 4 La 3.57
2 La 0.5000 0.5000 0.3153  4 Au 3.12, 1 In 3.15
3 In 0.5000 0.5000 0.7494  5 La 3.15-3.29, 4 Au 3.20
4 Au 0.0000 0.0000 0.5217  5 La 3.12-3.47, 4 In 3.20